Record 1
VASP calculation (PBE) on a relaxed BaAcIn2Se4 crystal. Values from VASP.

Results
N(E_F) = 4.6 states/eV/f.u.
Formation energy from raw total energies = -1.21 eV/atom
Mass density = 5.700 g/cm3

Geometry as Quantum ESPRESSO input:
```
&SYSTEM
  ibrav = 0, nat = 8, ntyp = 4
/
ATOMIC_SPECIES
Ba 137.33 Ba.upf
Se 78.96 Se.upf
In 114.82 In.upf
Ac 227.00 Ac.upf
ATOMIC_POSITIONS crystal
Ba 0.500 0.500 0.000
Se 0.000 0.759 0.724
Se 0.000 0.241 0.276
Se 0.500 0.744 0.275
Se 0.500 0.256 0.725
In 0.500 0.000 0.500
In 0.000 0.000 0.000
Ac 0.000 0.500 0.500
CELL_PARAMETERS angstrom
4.572 0.000 0.000
0.000 7.593 -0.026
0.000 2.803 7.626
```



Record 2
VASP calculation (PBE) on a relaxed K2SiAg crystal. Values from VASP.

Results
N(E_F) = 3.5 states/eV/f.u.
Formation energy from raw total energies = 0.44 eV/atom
Mass density = 3.174 g/cm3

Geometry as Quantum ESPRESSO input:
```
&SYSTEM
  ibrav = 0, nat = 4, ntyp = 3
/
ATOMIC_SPECIES
K 39.10 K.upf
Si 28.09 Si.upf
Ag 107.87 Ag.upf
ATOMIC_POSITIONS crystal
K 0.000 0.000 0.000
K 0.500 0.500 0.000
Si 0.500 0.000 0.500
Ag 0.000 0.500 0.500
CELL_PARAMETERS angstrom
-3.308 -1.443 -2.816
-0.440 -3.840 2.484
-3.646 2.394 3.057
```



Record 3
VASP calculation (PBE) on a relaxed NaZr3B crystal. Values from VASP.

Results
N(E_F) = 5.3 states/eV/f.u.
Mass density = 4.468 g/cm3
Offset from the most stable computed form = 1925 meV/atom

Geometry as Quantum ESPRESSO input:
```
&SYSTEM
  ibrav = 0, nat = 5, ntyp = 3
/
ATOMIC_SPECIES
Zr 91.22 Zr.upf
Na 22.99 Na.upf
B 10.81 B.upf
ATOMIC_POSITIONS crystal
Zr 0.500 0.000 0.000
Zr 0.000 0.000 0.500
Zr 0.000 0.500 0.000
Na 0.000 0.000 0.000
B 0.500 0.500 0.500
CELL_PARAMETERS angstrom
-0.090 2.664 4.055
-3.772 -2.589 1.618
3.052 -3.122 2.119
```



Record 4
VASP calculation (PBE) on a relaxed Cs3Hg4 crystal. Values from VASP.

Results
N(E_F) = 4.9 states/eV/f.u.
Mass density = 5.881 g/cm3
Total energy = -0.7923 eV/atom

Geometry as Quantum ESPRESSO input:
```
&SYSTEM
  ibrav = 0, nat = 7, ntyp = 2
/
ATOMIC_SPECIES
Hg 200.59 Hg.upf
Cs 132.91 Cs.upf
ATOMIC_POSITIONS crystal
Hg 0.067 0.566 0.133
Hg 0.933 0.434 0.867
Hg 0.362 0.363 0.724
Hg 0.638 0.637 0.276
Cs 0.500 0.000 0.000
Cs 0.814 0.815 0.629
Cs 0.186 0.185 0.371
CELL_PARAMETERS angstrom
-2.993 -4.368 1.035
-0.140 -1.149 -5.258
11.276 -3.625 3.256
```



Record 5
VASP calculation (PBE) on a relaxed BeVAu crystal. Values from VASP.

Results
N(E_F) = 2.2 states/eV/f.u.
Mass density = 9.954 g/cm3
Offset from the most stable computed form = 227 meV/atom

Geometry as Quantum ESPRESSO input:
```
&SYSTEM
  ibrav = 0, nat = 6, ntyp = 3
/
ATOMIC_SPECIES
Be 9.01 Be.upf
Au 196.97 Au.upf
V 50.94 V.upf
ATOMIC_POSITIONS crystal
Be 0.000 0.000 0.500
Be 0.500 0.500 0.500
Au 0.000 0.500 0.729
Au 0.500 0.000 0.271
V 0.000 0.500 0.171
V 0.500 0.000 0.829
CELL_PARAMETERS angstrom
3.803 0.000 0.000
0.000 3.803 0.000
0.000 0.000 5.927
```



Record 6
VASP calculation (PBE) on a relaxed Ce2NdFe9 crystal. Values from VASP.

Results
N(E_F) = 19.6 states/eV/f.u.
Mass density = 8.533 g/cm3
Total energy = -7.6941 eV/atom

Geometry as Quantum ESPRESSO input:
```
&SYSTEM
  ibrav = 0, nat = 12, ntyp = 3
/
ATOMIC_SPECIES
Fe 55.84 Fe.upf
Nd 144.24 Nd.upf
Ce 140.12 Ce.upf
ATOMIC_POSITIONS crystal
Fe 0.668 0.668 0.997
Fe 0.420 0.916 0.244
Fe 0.500 0.500 0.500
Fe 0.916 0.420 0.244
Fe 0.332 0.332 0.003
Fe 0.084 0.580 0.756
Fe 0.580 0.580 0.756
Fe 0.580 0.084 0.756
Fe 0.420 0.420 0.244
Nd 0.000 0.000 0.000
Ce 0.142 0.142 0.575
Ce 0.858 0.858 0.425
CELL_PARAMETERS angstrom
0.541 1.730 4.651
1.960 -2.925 3.539
8.475 2.393 0.804
```



Record 7
VASP calculation (PBE) on a relaxed CeBr2Cl8 crystal. Values from VASP.

Results
N(E_F) = 8.3 states/eV/f.u.
Formation energy from raw total energies = -0.77 eV/atom
Mass density = 2.473 g/cm3
Offset from the most stable computed form = 34 meV/atom

Geometry as Quantum ESPRESSO input:
```
&SYSTEM
  ibrav = 0, nat = 11, ntyp = 3
/
ATOMIC_SPECIES
Cl 35.45 Cl.upf
Ce 140.12 Ce.upf
Br 79.90 Br.upf
ATOMIC_POSITIONS crystal
Cl 0.967 0.371 0.855
Cl 0.033 0.629 0.145
Cl 0.380 0.087 0.087
Cl 0.033 0.145 0.629
Cl 0.446 0.596 0.596
Cl 0.620 0.913 0.913
Cl 0.967 0.855 0.371
Cl 0.554 0.404 0.404
Ce 0.000 0.000 0.000
Br 0.470 0.255 0.255
Br 0.530 0.745 0.745
CELL_PARAMETERS angstrom
-4.956 3.709 4.898
6.198 -3.912 4.596
8.153 1.962 2.126
```



Record 8
VASP calculation (PBE) on a relaxed TmScIrOs crystal. Values from VASP.

Results
N(E_F) = 1.5 states/eV/f.u.
Mass density = 13.848 g/cm3
Total energy = -8.3336 eV/atom

Geometry as Quantum ESPRESSO input:
```
&SYSTEM
  ibrav = 0, nat = 4, ntyp = 4
/
ATOMIC_SPECIES
Sc 44.96 Sc.upf
Ir 192.22 Ir.upf
Tm 168.93 Tm.upf
Os 190.23 Os.upf
ATOMIC_POSITIONS crystal
Sc 0.250 0.250 0.250
Ir 0.000 0.000 0.000
Tm 0.750 0.750 0.750
Os 0.500 0.500 0.500
CELL_PARAMETERS angstrom
-2.224 3.737 -1.672
-4.647 0.239 0.225
-2.040 2.999 2.925
```



Record 9
VASP calculation (PBE) on a relaxed BeVNiRh crystal. Values from VASP.

Results
N(E_F) = 4.5 states/eV/f.u.
Mass density = 7.780 g/cm3
Total energy = -6.8145 eV/atom

Geometry as Quantum ESPRESSO input:
```
&SYSTEM
  ibrav = 0, nat = 4, ntyp = 4
/
ATOMIC_SPECIES
Ni 58.69 Ni.upf
Be 9.01 Be.upf
Rh 102.91 Rh.upf
V 50.94 V.upf
ATOMIC_POSITIONS crystal
Ni 0.250 0.250 0.250
Be 0.500 0.500 0.500
Rh 0.750 0.750 0.750
V 0.000 0.000 0.000
CELL_PARAMETERS angstrom
4.059 0.000 0.000
2.030 3.515 0.000
2.030 1.172 3.314
```



Record 10
VASP calculation (PBE) on a relaxed CaICl crystal. Values from VASP.

Results
N(E_F) = 0.0 states/eV/f.u.
Formation energy from raw total energies = -1.82 eV/atom
Mass density = 3.407 g/cm3

Geometry as Quantum ESPRESSO input:
```
&SYSTEM
  ibrav = 0, nat = 3, ntyp = 3
/
ATOMIC_SPECIES
Cl 35.45 Cl.upf
Ca 40.08 Ca.upf
I 126.90 I.upf
ATOMIC_POSITIONS crystal
Cl 0.500 0.500 0.500
Ca 0.250 0.250 0.250
I 0.000 0.000 0.000
CELL_PARAMETERS angstrom
5.187 0.000 0.000
2.593 4.492 0.000
2.593 1.497 4.235
```



Record 11
VASP calculation (PBE) on a relaxed TiTlInF6 crystal. Values from VASP.

Results
N(E_F) = 0.0 states/eV/f.u.
Formation energy from raw total energies = -2.72 eV/atom
Mass density = 5.073 g/cm3

Geometry as Quantum ESPRESSO input:
```
&SYSTEM
  ibrav = 0, nat = 9, ntyp = 4
/
ATOMIC_SPECIES
Ti 47.87 Ti.upf
F 19.00 F.upf
Tl 204.38 Tl.upf
In 114.82 In.upf
ATOMIC_POSITIONS crystal
Ti 0.334 0.334 0.556
F 0.013 0.546 0.727
F 0.465 0.080 0.839
F 0.198 0.598 0.270
F 0.649 0.146 0.387
F 0.207 0.148 0.392
F 0.441 0.544 0.722
Tl 0.678 0.643 0.233
In 0.016 0.962 0.873
CELL_PARAMETERS angstrom
6.224 0.036 0.019
3.154 5.050 0.130
0.014 0.110 5.030
```



Record 12
VASP calculation (PBE) on a relaxed Tb4YIn4 crystal. Values from VASP.

Results
N(E_F) = 7.4 states/eV/f.u.
Mass density = 7.695 g/cm3
Total energy = -4.2616 eV/atom

Geometry as Quantum ESPRESSO input:
```
&SYSTEM
  ibrav = 0, nat = 18, ntyp = 3
/
ATOMIC_SPECIES
Tb 158.93 Tb.upf
In 114.82 In.upf
Y 88.91 Y.upf
ATOMIC_POSITIONS crystal
Tb 0.621 0.837 0.573
Tb 0.121 0.927 0.337
Tb 0.621 0.163 0.427
Tb 0.379 0.427 0.837
Tb 0.379 0.573 0.163
Tb 0.879 0.663 0.927
Tb 0.879 0.337 0.073
Tb 0.121 0.073 0.663
In 0.609 0.102 0.795
In 0.609 0.898 0.205
In 0.109 0.295 0.398
In 0.891 0.602 0.295
In 0.391 0.205 0.102
In 0.109 0.705 0.602
In 0.391 0.795 0.898
In 0.891 0.398 0.705
Y 0.500 0.500 0.500
Y 0.000 0.000 0.000
CELL_PARAMETERS angstrom
-3.449 4.594 -1.749
-6.036 -5.931 -3.673
-4.537 -0.351 8.024
```



Magnetization / Bohr magnetons per cell: 0.0; 0.0; 0.0; 0.0; 3.0; 6.4; 0.4; 0.0; 1.4; 0.0; 0.0; 0.0